No. 1
SmEr3In3 | PBE-GGA | relaxed

Lattice parameters (Å, degrees): 5.151 9.339 9.339 120.00 90.00 90.00
Fractional coordinates of all 14 atoms:
In1 0.250 0.071 0.618
Er1 0.750 0.769 0.998
Er2 0.250 0.771 0.769
Sm1 0.750 0.333 0.667
In2 0.750 0.618 0.548
In3 0.250 0.382 0.452
In4 0.750 0.929 0.382
Er3 0.250 0.998 0.229
In5 0.250 0.548 0.929
Sm2 0.250 0.667 0.333
Er4 0.750 0.229 0.231
Er5 0.750 0.002 0.771
Er6 0.250 0.231 0.002
In6 0.750 0.452 0.071

Computed properties:
Formation energy: -0.3507 eV/atom
Energy relative to the lowest polymorph listed for this composition: 0 meV per atom
M_tot: 0.0 Bohr magnetons per cell
DFT total energy: -4.1540 eV per atom

No. 2
Sm12Er7In | PBE-GGA | relaxed

Lattice parameters (Å, degrees): 8.680 8.680 8.680 89.31 89.31 89.31
Last column: magnetic moment on the atom in μB.
Fractional coordinates of all 20 atoms:
Er1 0.854 0.620 0.942  0.07
In1 0.000 0.000 0.000  0.00
Sm1 0.740 0.870 0.264  0.02
Sm2 0.870 0.264 0.740  0.02
Sm3 0.736 0.260 0.130  0.02
Er2 0.942 0.854 0.620  0.07
Sm4 0.260 0.130 0.736  0.02
Sm5 0.130 0.736 0.260  0.02
Sm6 0.856 0.504 0.384  0.01
Sm7 0.616 0.144 0.496  0.01
Sm8 0.264 0.740 0.870  0.02
Er3 0.380 0.058 0.146  0.07
Sm9 0.144 0.496 0.616  0.01
Er4 0.620 0.942 0.854  0.07
Er5 0.058 0.146 0.380  0.07
Sm10 0.504 0.384 0.856  0.01
Er6 0.500 0.500 0.500  -0.01
Er7 0.146 0.380 0.058  0.07
Sm11 0.384 0.856 0.504  0.01
Sm12 0.496 0.616 0.144  0.01

Computed properties:
Formation energy: 0.1574 eV/atom
Energy relative to the lowest polymorph listed for this composition: 0 meV per atom
M_tot: 0.8 Bohr magnetons per cell
DFT total energy: -4.4080 eV per atom

No. 3
Sm5ErIn6 | PBE-GGA | relaxed

Lattice parameters (Å, degrees): 5.399 9.331 9.352 60.07 73.17 54.53
Fractional coordinates of all 12 atoms:
In1 0.245 0.919 0.672
Er1 0.000 0.000 0.000
In2 0.755 0.410 0.672
Sm1 0.500 0.830 0.339
In3 0.741 0.758 0.000
Sm2 0.500 0.170 0.661
Sm3 0.000 0.666 0.669
In4 0.259 0.242 0.000
In5 0.245 0.590 0.328
In6 0.755 0.081 0.328
Sm4 0.500 0.500 0.000
Sm5 0.000 0.334 0.331

Computed properties:
Formation energy: -0.4829 eV/atom
M_tot: 0.0 Bohr magnetons per cell
DFT total energy: -4.1987 eV per atom